Entry 1:
First-principles (PBE) data for a relaxed structure of Ce4BiH, as listed in Alexandria via LeMat-Bulk.

Unit cell a=5.5721 b=6.6579 c=9.0986 alpha=111.46 beta=108.97 gamma=90.00
Last column: nearest neighbours and their distance in Å.
Element x y z (fractional)
Ce: 0.0000 0.7394 0.0000  2 H 2.41
Ce: 0.0000 0.2606 0.0000  2 H 2.41
Ce: 0.3721 0.1432 0.7867  1 H 2.40
Ce: 0.8227 0.2951 0.5901  1 H 2.32
Ce: 0.3721 0.6434 0.7867  1 H 2.40
Ce: 0.6279 0.8568 0.2133  1 H 2.40
Ce: 0.6279 0.3566 0.2133  1 H 2.40
Ce: 0.1773 0.7049 0.4099  1 H 2.32
H: 0.3011 0.5874 0.1749  5 Ce 2.32-2.41
H: 0.6989 0.4126 0.8251  5 Ce 2.32-2.41
Bi: 0.2053 0.1854 0.3709  10 Ce 3.28-3.51
Bi: 0.7947 0.8146 0.6291  10 Ce 3.28-3.51

Computed properties:
**Theoretical density**: 8693 kg/m3
**Electronic total energy**: -5.429 eV/atom

Entry 2:
First-principles (PBE) data for a relaxed structure of AsAuCl, as listed in Alexandria via LeMat-Bulk.

Unit cell a=4.6022 b=4.6022 c=4.6022 alpha=60.00 beta=60.00 gamma=60.00
Last column: nearest neighbours and their distance in Å.
Element x y z (fractional)
As: 0.5000 0.5000 0.5000  4 Au 2.82
Cl: 0.0000 0.0000 0.0000  4 Au 2.82
Au: 0.7500 0.7500 0.7500  4 As 2.82, 4 Cl 2.82

Computed properties:
**Theoretical density**: 7404 kg/m3
**Uncorrected formation energy**: 0.457 eV/atom

Entry 3:
First-principles (PBE) data for a relaxed structure of Sm2CuIrO6, as listed in Alexandria via LeMat-Bulk.

Unit cell a=5.6878 b=5.6879 c=5.5097 alpha=58.92 beta=58.92 gamma=60.00
Last column: nearest neighbours and their distance in Å.
Element x y z (fractional)
O: 0.9718 0.5840 0.2752  1 Ir 2.03, 1 Cu 2.16
O: 0.4596 0.6629 0.7816  1 Ir 2.03, 1 Cu 2.06
O: 0.1690 0.9718 0.2752  1 Ir 2.03, 1 Cu 2.16
O: 0.6629 0.0959 0.7817  1 Ir 2.03, 1 Cu 2.06
O: 0.0959 0.4596 0.7817  1 Ir 2.03, 1 Cu 2.06
O: 0.5839 0.1690 0.2752  1 Ir 2.03, 1 Cu 2.16
Ir: 0.3150 0.3150 0.0550  6 O 2.03
Sm: 0.5490 0.5490 0.3530  6 O 2.31-2.50
Sm: 0.0470 0.0471 0.8589  6 O 2.29-2.50
Cu: 0.8074 0.8074 0.5777  6 O 2.06-2.16

Computed properties:
**Theoretical density**: 8741 kg/m3
**Uncorrected formation energy**: -1.985 eV/atom

Values for D(E_F), states/eV/cell, ordered as above
33.38 3.93 6.00